V3HPd | GGA-PBEsol | relaxed

The structure in POSCAR format:
```
V3HPd
1.0
3.8099 0.0000 0.0000
0.0000 3.8099 0.0000
0.0000 0.0000 3.8099
H V Pd
1 3 1
Cartesian
0.0000 0.0000 0.0000
0.0000 0.0000 1.9049
0.0000 1.9049 0.0000
1.9049 0.0000 0.0000
1.9049 1.9049 1.9049
```

Symmetry: Pm-3m
Electronic total energy, eV/atom: -7.76